Entry 1:
This record from Alexandria via LeMat-Bulk describes Ac2TbTl3Se6 after structural relaxation. The functional is PBE.

Properties
As for the uncorrected formation energy: -1.415 eV per atom. For the total moment, the calculation gives 0.000 μB/f.u. Its density of states at the Fermi level is 0.0 states/eV per cell. The uncorrected energy comes out at -4.82 eV/atom.

a b c (Å): 7.711 7.711 8.139
angles (deg): 99.08 99.08 119.92
Positions (direct):
Se1 0.929 0.614 0.788
Se2 0.614 0.929 0.788
Se3 0.243 0.243 0.784
Se4 0.757 0.757 0.216
Se5 0.071 0.386 0.212
Se6 0.386 0.071 0.212
Ac1 0.667 0.333 0.000
Ac2 0.333 0.667 0.000
Tl1 0.833 0.167 0.500
Tl2 0.167 0.833 0.500
Tl3 0.500 0.500 0.500
Tb1 0.000 0.000 0.000

Entry 2:
This record from Alexandria via LeMat-Bulk describes Ac3Tb3TmSe8 after structural relaxation. The functional is PBE.

Properties
As for the uncorrected formation energy: -1.856 eV per atom. For the total moment, the calculation gives 0.000 μB/f.u. Its density of states at the Fermi level is 7.1 states/eV per cell. The uncorrected energy comes out at -5.76 eV/atom.

a b c (Å): 8.377 8.377 8.640
angles (deg): 119.00 90.00 120.00
Positions (direct):
Tb1 0.500 0.000 0.500
Tb2 0.000 0.500 0.500
Tb3 0.500 0.500 0.500
Se1 0.759 0.518 0.276
Se2 0.241 0.482 0.724
Se3 0.741 0.482 0.723
Se4 0.742 0.983 0.724
Se5 0.759 0.017 0.276
Se6 0.258 0.017 0.276
Se7 0.241 0.983 0.724
Se8 0.259 0.518 0.277
Tm1 0.000 0.000 0.500
Ac1 0.000 0.000 0.000
Ac2 0.000 0.500 0.000
Ac3 0.500 0.500 0.000

Entry 3:
This record from Alexandria via LeMat-Bulk describes Ac3Tb2TmSe6 after structural relaxation. The functional is PBE.

Properties
As for the uncorrected formation energy: -1.797 eV per atom. For the total moment, the calculation gives 0.000 μB/f.u. Its density of states at the Fermi level is 4.7 states/eV per cell. The uncorrected energy comes out at -5.71 eV/atom.

a b c (Å): 7.210 7.210 7.719
angles (deg): 98.96 98.96 120.12
Positions (direct):
Tb1 0.667 0.333 0.000
Tb2 0.333 0.667 0.000
Se1 0.745 0.745 0.220
Se2 0.401 0.072 0.218
Se3 0.072 0.401 0.218
Se4 0.255 0.255 0.780
Se5 0.928 0.599 0.782
Se6 0.599 0.928 0.782
Ac1 0.831 0.169 0.500
Ac2 0.169 0.831 0.500
Ac3 0.500 0.500 0.500
Tm1 0.000 0.000 0.000

Entry 4:
This record from Alexandria via LeMat-Bulk describes Ac2TbTmSe5 after structural relaxation. The functional is PBE.

Properties
As for the uncorrected formation energy: -1.504 eV per atom. For the total moment, the calculation gives 0.000 μB/f.u. Its density of states at the Fermi level is 4.8 states/eV per cell. The uncorrected energy comes out at -5.36 eV/atom.

a b c (Å): 5.103 5.103 10.903
angles (deg): 90.00 90.00 90.00
Positions (direct):
Se1 0.000 0.500 0.500
Se2 0.000 0.000 0.754
Se3 0.500 0.500 0.000
Se4 0.500 0.000 0.500
Se5 0.000 0.000 0.246
Ac1 0.500 0.500 0.289
Ac2 0.500 0.500 0.711
Tb1 0.000 0.000 0.000
Tm1 0.000 0.000 0.500

Entry 5:
This record from Alexandria via LeMat-Bulk describes AcTbTm2Se4 after structural relaxation. The functional is PBE.

Properties
As for the uncorrected formation energy: -1.713 eV per atom. For the total moment, the calculation gives 0.000 μB/f.u. Its density of states at the Fermi level is 3.4 states/eV per cell. The uncorrected energy comes out at -5.67 eV/atom.

a b c (Å): 4.049 7.489 7.050
angles (deg): 71.82 90.00 90.00
Positions (direct):
Se1 0.000 0.777 0.731
Se2 0.000 0.223 0.269
Se3 0.500 0.769 0.253
Se4 0.500 0.231 0.747
Tm1 0.500 0.000 0.500
Tm2 0.000 0.000 0.000
Ac1 0.500 0.500 0.000
Tb1 0.000 0.500 0.500

Entry 6:
This record from Alexandria via LeMat-Bulk describes Ac2TbTmSe6 after structural relaxation. The functional is PBE.

Properties
As for the uncorrected formation energy: -1.974 eV per atom. For the total moment, the calculation gives 0.000 μB/f.u. Its density of states at the Fermi level is 0.0 states/eV per cell. The uncorrected energy comes out at -5.80 eV/atom.

a b c (Å): 7.164 7.886 10.556
angles (deg): 90.00 90.22 90.00
Positions (direct):
Se1 0.370 0.961 0.748
Se2 0.676 0.311 0.564
Se3 0.870 0.539 0.248
Se4 0.680 0.314 0.936
Se5 0.630 0.039 0.252
Se6 0.320 0.686 0.064
Se7 0.820 0.814 0.564
Se8 0.324 0.689 0.436
Se9 0.180 0.186 0.436
Se10 0.176 0.189 0.064
Se11 0.130 0.461 0.752
Se12 0.824 0.811 0.936
Ac1 0.964 0.096 0.751
Ac2 0.464 0.404 0.251
Ac3 0.536 0.596 0.749
Ac4 0.036 0.904 0.249
Tm1 0.500 0.000 0.500
Tm2 0.000 0.500 0.000
Tb1 0.000 0.500 0.500
Tb2 0.500 0.000 0.000

Entry 7:
This record from Alexandria via LeMat-Bulk describes Ac3TbTm3Se8 after structural relaxation. The functional is PBE.

Properties
As for the uncorrected formation energy: -1.831 eV per atom. For the total moment, the calculation gives 0.000 μB/f.u. Its density of states at the Fermi level is 7.2 states/eV per cell. The uncorrected energy comes out at -5.71 eV/atom.

a b c (Å): 8.288 8.289 8.595
angles (deg): 118.83 90.00 120.00
Positions (direct):
Tm1 0.500 0.500 0.500
Tm2 0.000 0.500 0.500
Tm3 0.500 0.000 0.500
Se1 0.731 0.978 0.725
Se2 0.269 0.022 0.275
Se3 0.739 0.477 0.716
Se4 0.261 0.523 0.284
Se5 0.753 0.507 0.276
Se6 0.753 0.022 0.275
Se7 0.247 0.493 0.724
Se8 0.247 0.978 0.725
Ac1 0.000 0.500 0.000
Ac2 0.500 0.500 0.000
Ac3 0.000 0.000 0.000
Tb1 0.000 0.000 0.500

Entry 8:
This record from Alexandria via LeMat-Bulk describes AcTbTm2Se6 after structural relaxation. The functional is PBE.

Properties
As for the uncorrected formation energy: -1.873 eV per atom. For the total moment, the calculation gives 0.000 μB/f.u. Its density of states at the Fermi level is 0.0 states/eV per cell. The uncorrected energy comes out at -5.73 eV/atom.

a b c (Å): 7.346 7.346 7.718
angles (deg): 61.58 61.59 60.00
Positions (direct):
Tm1 0.010 0.010 0.970
Tm2 0.517 0.516 0.451
Se1 0.368 0.734 0.743
Se2 0.156 0.368 0.743
Se3 0.235 0.906 0.242
Se4 0.734 0.156 0.743
Se5 0.906 0.618 0.242
Se6 0.618 0.235 0.242
Ac1 0.803 0.803 0.591
Tb1 0.317 0.317 0.050

Entry 9:
This record from Alexandria via LeMat-Bulk describes Ac4Tb3YSe8 after structural relaxation. The functional is PBE.

Properties
As for the uncorrected formation energy: -1.809 eV per atom. For the total moment, the calculation gives 0.000 μB/f.u. Its density of states at the Fermi level is 8.2 states/eV per cell. The uncorrected energy comes out at -5.85 eV/atom.

a b c (Å): 8.366 8.764 8.366
angles (deg): 118.51 120.00 90.00
Positions (direct):
Ac1 0.500 0.000 0.000
Ac2 0.000 0.000 0.500
Ac3 0.000 0.000 0.000
Ac4 0.500 0.000 0.500
Tb1 0.500 0.500 0.500
Tb2 0.000 0.500 0.500
Tb3 0.500 0.500 0.000
Y1 0.000 0.500 0.000
Se1 0.740 0.721 0.481
Se2 0.260 0.279 0.519
Se3 0.760 0.279 0.019
Se4 0.240 0.721 0.480
Se5 0.741 0.721 0.981
Se6 0.760 0.279 0.520
Se7 0.240 0.721 0.981
Se8 0.259 0.279 0.019

Entry 10:
This record from Alexandria via LeMat-Bulk describes Ac3Tb3YSe8 after structural relaxation. The functional is PBE.

Properties
As for the uncorrected formation energy: -1.867 eV per atom. For the total moment, the calculation gives 0.000 μB/f.u. Its density of states at the Fermi level is 7.4 states/eV per cell. The uncorrected energy comes out at -5.90 eV/atom.

a b c (Å): 8.392 8.392 8.633
angles (deg): 119.08 90.00 120.00
Positions (direct):
Tb1 0.500 0.000 0.500
Tb2 0.500 0.500 0.500
Tb3 0.000 0.500 0.500
Y1 0.000 0.000 0.500
Se1 0.259 0.518 0.277
Se2 0.245 0.489 0.727
Se3 0.755 0.511 0.273
Se4 0.741 0.482 0.723
Se5 0.755 0.017 0.273
Se6 0.738 0.983 0.727
Se7 0.245 0.983 0.727
Se8 0.262 0.017 0.273
Ac1 0.000 0.500 0.000
Ac2 0.500 0.500 0.000
Ac3 0.000 0.000 0.000

Entry 11:
This record from Alexandria via LeMat-Bulk describes AcTbY2Se4 after structural relaxation. The functional is PBE.

Properties
As for the uncorrected formation energy: -1.763 eV per atom. For the total moment, the calculation gives 0.000 μB/f.u. Its density of states at the Fermi level is 4.7 states/eV per cell. The uncorrected energy comes out at -6.21 eV/atom.

a b c (Å): 4.119 7.358 7.242
angles (deg): 71.37 90.00 90.00
Positions (direct):
Se1 0.000 0.231 0.268
Se2 0.500 0.760 0.258
Se3 0.000 0.769 0.732
Se4 0.500 0.240 0.742
Y1 0.500 0.000 0.500
Y2 0.000 0.000 0.000
Ac1 0.500 0.500 0.000
Tb1 0.000 0.500 0.500

Entry 12:
This record from Alexandria via LeMat-Bulk describes AcTbY2Se6 after structural relaxation. The functional is PBE.

Properties
As for the uncorrected formation energy: -1.886 eV per atom. For the total moment, the calculation gives 0.000 μB/f.u. Its density of states at the Fermi level is 0.0 states/eV per cell. The uncorrected energy comes out at -6.14 eV/atom.

a b c (Å): 7.398 7.398 7.796
angles (deg): 61.66 61.67 60.00
Positions (direct):
Se1 0.729 0.151 0.745
Se2 0.613 0.231 0.244
Se3 0.151 0.375 0.745
Se4 0.231 0.912 0.244
Se5 0.912 0.613 0.244
Se6 0.375 0.729 0.745
Y1 0.011 0.011 0.968
Y2 0.517 0.517 0.448
Tb1 0.318 0.318 0.047
Ac1 0.805 0.805 0.585

Entry 13:
This record from Alexandria via LeMat-Bulk describes Ac3Tb2YSe6 after structural relaxation. The functional is PBE.

Properties
As for the uncorrected formation energy: -1.813 eV per atom. For the total moment, the calculation gives 0.000 μB/f.u. Its density of states at the Fermi level is 5.0 states/eV per cell. The uncorrected energy comes out at -5.89 eV/atom.

a b c (Å): 7.257 7.257 7.686
angles (deg): 99.07 99.07 120.15
Positions (direct):
Se1 0.259 0.259 0.779
Se2 0.927 0.594 0.779
Se3 0.406 0.073 0.221
Se4 0.073 0.406 0.221
Se5 0.594 0.927 0.779
Se6 0.741 0.741 0.221
Ac1 0.833 0.167 0.500
Ac2 0.167 0.833 0.500
Ac3 0.500 0.500 0.500
Tb1 0.333 0.667 0.000
Tb2 0.667 0.333 0.000
Y1 0.000 0.000 0.000

Entry 14:
This record from Alexandria via LeMat-Bulk describes Ac2TbYSe6 after structural relaxation. The functional is PBE.

Properties
As for the uncorrected formation energy: -1.976 eV per atom. For the total moment, the calculation gives 0.000 μB/f.u. Its density of states at the Fermi level is 0.0 states/eV per cell. The uncorrected energy comes out at -6.00 eV/atom.

a b c (Å): 7.189 7.918 10.600
angles (deg): 90.00 89.93 90.00
Positions (direct):
Se1 0.322 0.687 0.435
Se2 0.133 0.458 0.750
Se3 0.177 0.188 0.435
Se4 0.823 0.812 0.565
Se5 0.867 0.542 0.250
Se6 0.822 0.813 0.935
Se7 0.367 0.958 0.750
Se8 0.178 0.187 0.065
Se9 0.677 0.312 0.935
Se10 0.678 0.313 0.565
Se11 0.323 0.688 0.065
Se12 0.633 0.042 0.250
Y1 0.000 0.500 0.500
Y2 0.500 0.000 0.000
Tb1 0.000 0.500 0.000
Tb2 0.500 0.000 0.500
Ac1 0.037 0.904 0.250
Ac2 0.537 0.596 0.750
Ac3 0.463 0.404 0.250
Ac4 0.963 0.096 0.750

Entry 15:
This record from Alexandria via LeMat-Bulk describes Ac3TbY2Se6 after structural relaxation. The functional is PBE.

Properties
As for the uncorrected formation energy: -1.813 eV per atom. For the total moment, the calculation gives 0.000 μB/f.u. Its density of states at the Fermi level is 5.1 states/eV per cell. The uncorrected energy comes out at -6.05 eV/atom.

a b c (Å): 7.251 7.251 7.688
angles (deg): 99.05 99.05 120.14
Positions (direct):
Tb1 0.000 0.000 0.000
Se1 0.260 0.260 0.779
Se2 0.593 0.927 0.779
Se3 0.073 0.407 0.221
Se4 0.407 0.073 0.221
Se5 0.740 0.740 0.221
Se6 0.927 0.593 0.779
Ac1 0.166 0.834 0.500
Ac2 0.834 0.166 0.500
Ac3 0.500 0.500 0.500
Y1 0.667 0.333 0.000
Y2 0.333 0.667 0.000

Entry 16:
This record from Alexandria via LeMat-Bulk describes AcTcSe after structural relaxation. The functional is PBE.

Properties
As for the uncorrected formation energy: -0.786 eV per atom. For the total moment, the calculation gives 0.000 μB/f.u. Its density of states at the Fermi level is 4.9 states/eV per cell. The uncorrected energy comes out at -6.77 eV/atom.

a b c (Å): 6.161 4.318 34.967
angles (deg): 149.85 156.90 45.47
Positions (direct):
Tc1 0.201 0.451 0.557
Tc2 0.799 0.549 0.443
Se1 0.254 0.506 0.859
Se2 0.746 0.494 0.141
Ac1 0.620 0.869 0.248
Ac2 0.380 0.131 0.752

Entry 17:
This record from Alexandria via LeMat-Bulk describes Ac4Te4Se after structural relaxation. The functional is PBE.

Properties
As for the uncorrected formation energy: -1.349 eV per atom. For the total moment, the calculation gives 0.009 μB/f.u. Its density of states at the Fermi level is 5.0 states/eV per cell. The uncorrected energy comes out at -4.96 eV/atom.

a b c (Å): 7.864 7.864 8.828
angles (deg): 116.45 116.45 90.00
Positions (direct):
Ac1 0.348 0.915 0.263
Ac2 0.652 0.652 0.737
Ac3 0.915 0.348 0.263
Ac4 0.085 0.085 0.737
Te1 0.296 0.296 0.592
Te2 0.704 0.704 0.408
Te3 0.500 0.000 0.000
Te4 0.000 0.500 0.000
Se1 0.000 0.000 0.000

Entry 18:
This record from Alexandria via LeMat-Bulk describes Ac2TeSe3 after structural relaxation. The functional is PBE.

Properties
As for the uncorrected formation energy: -1.295 eV per atom. For the total moment, the calculation gives 0.000 μB/f.u. Its density of states at the Fermi level is 2.7 states/eV per cell. The uncorrected energy comes out at -4.93 eV/atom.

a b c (Å): 4.068 5.218 9.648
angles (deg): 105.69 102.17 90.00
Positions (direct):
Se1 0.811 0.811 0.623
Se2 0.189 0.189 0.377
Se3 0.000 0.500 0.000
Te1 0.000 0.000 0.000
Ac1 0.358 0.358 0.715
Ac2 0.642 0.642 0.285

Entry 19:
This record from Alexandria via LeMat-Bulk describes AcTeSe3 after structural relaxation. The functional is PBE.

Properties
As for the uncorrected formation energy: -0.896 eV per atom. For the total moment, the calculation gives 0.000 μB/f.u. Its density of states at the Fermi level is 0.9 states/eV per cell. The uncorrected energy comes out at -4.44 eV/atom.

a b c (Å): 4.343 8.357 8.838
angles (deg): 92.93 104.22 90.00
Positions (direct):
Se1 0.165 0.590 0.331
Se2 0.835 0.410 0.669
Se3 0.968 0.793 0.935
Se4 0.351 0.980 0.702
Se5 0.032 0.207 0.065
Se6 0.649 0.020 0.298
Ac1 0.777 0.765 0.554
Ac2 0.223 0.235 0.446
Te1 0.543 0.671 0.087
Te2 0.457 0.329 0.913

Entry 20:
This record from Alexandria via LeMat-Bulk describes AcTeSe after structural relaxation. The functional is PBE.

Properties
As for the uncorrected formation energy: -1.620 eV per atom. For the total moment, the calculation gives 0.000 μB/f.u. Its density of states at the Fermi level is 3.0 states/eV per cell. The uncorrected energy comes out at -5.20 eV/atom.

a b c (Å): 6.277 6.550 18.326
angles (deg): 90.00 90.00 90.00
Positions (direct):
Se1 0.250 0.000 0.682
Se2 0.250 0.500 0.818
Se3 0.750 0.000 0.818
Se4 0.250 0.500 0.318
Se5 0.750 0.000 0.318
Se6 0.750 0.500 0.682
Se7 0.750 0.500 0.182
Se8 0.250 0.000 0.182
Ac1 0.750 0.000 0.146
Ac2 0.250 0.500 0.146
Ac3 0.250 0.500 0.646
Ac4 0.750 0.000 0.646
Ac5 0.750 0.500 0.854
Ac6 0.250 0.000 0.354
Ac7 0.250 0.000 0.854
Ac8 0.750 0.500 0.354
Te1 0.500 0.750 0.500
Te2 0.000 0.250 0.500
Te3 0.000 0.750 0.500
Te4 0.000 0.250 0.000
Te5 0.500 0.250 0.000
Te6 0.500 0.750 0.000
Te7 0.000 0.750 0.000
Te8 0.500 0.250 0.500